Entry 1:
CaMg2GaPt after structural relaxation. Source: the Alexandria database, functional PBE.

The structure in POSCAR format:
```
CaMg2GaPt
1.0
5.048 0.000 0.000
0.000 5.048 0.000
0.000 0.000 4.859
Mg Ca Ga Pt
2 1 1 1
Direct
0.000 0.500 0.000 Mg
0.500 0.000 0.000 Mg
0.500 0.500 0.500 Ca
0.000 0.000 0.500 Ga
0.000 0.000 0.000 Pt
```

* E_form: -0.412 eV per atom
* energy: -16.32 eV per formula unit
* Fermi-level density of states: 3.8 states/eV/cell

Entry 2:
CaMgGaPt after structural relaxation. Source: the Alexandria database, functional PBE.

The structure in POSCAR format:
```
CaMgGaPt
1.0
-0.900 -1.716 -4.302
2.184 -3.910 -1.485
-2.424 -4.020 -0.477
Mg Ca Ga Pt
1 1 1 1
Direct
0.000 0.000 0.000 Mg
0.250 0.250 0.250 Ca
0.500 0.500 0.500 Ga
0.750 0.750 0.750 Pt
```

* E_form: -0.552 eV per atom
* energy: -14.87 eV per formula unit
* Fermi-level density of states: 2.2 states/eV/cell

Entry 3:
CaMg2GaRh2 after structural relaxation. Source: the Alexandria database, functional PBE.

The structure in POSCAR format:
```
CaMg2GaRh2
1.0
-3.383 0.333 3.231
-0.746 -4.620 -0.305
4.026 -0.935 4.312
Ca Mg Ga Rh
1 2 1 2
Direct
0.000 0.000 0.500 Ca
0.500 0.500 0.760 Mg
0.500 0.500 0.240 Mg
0.000 0.000 0.000 Ga
0.500 0.000 0.000 Rh
0.000 0.500 0.000 Rh
```

* E_form: -0.314 eV per atom
* energy: -24.80 eV per formula unit
* Fermi-level density of states: 5.4 states/eV/cell

Entry 4:
Ca2MgGa2Rh5 after structural relaxation. Source: the Alexandria database, functional PBE.

The structure in POSCAR format:
```
Ca2MgGa2Rh5
1.0
3.324 0.000 0.000
0.000 10.184 0.000
0.000 0.000 10.184
Ca Mg Ga Rh
4 2 4 10
Direct
0.000 0.673 0.173 Ca
0.000 0.327 0.827 Ca
0.000 0.173 0.327 Ca
0.000 0.827 0.673 Ca
0.000 0.000 0.000 Mg
0.000 0.500 0.500 Mg
0.000 0.129 0.629 Ga
0.000 0.871 0.371 Ga
0.000 0.629 0.871 Ga
0.000 0.371 0.129 Ga
0.500 0.202 0.065 Rh
0.500 0.798 0.935 Rh
0.500 0.065 0.798 Rh
0.500 0.702 0.435 Rh
0.500 0.935 0.202 Rh
0.500 0.298 0.565 Rh
0.500 0.565 0.702 Rh
0.500 0.435 0.298 Rh
0.500 0.500 0.000 Rh
0.500 0.000 0.500 Rh
```

* E_form: -0.543 eV per atom
* energy: -53.84 eV per formula unit
* Fermi-level density of states: 8.6 states/eV/cell

Entry 5:
CaMgGa2Rh after structural relaxation. Source: the Alexandria database, functional PBE.

The structure in POSCAR format:
```
CaMgGa2Rh
1.0
4.812 0.000 0.000
0.000 4.812 0.000
0.000 0.000 4.895
Ca Rh Mg Ga
1 1 1 2
Direct
0.500 0.500 0.500 Ca
0.000 0.000 0.000 Rh
0.000 0.000 0.500 Mg
0.000 0.500 0.000 Ga
0.500 0.000 0.000 Ga
```

* E_form: -0.381 eV per atom
* energy: -18.91 eV per formula unit
* Fermi-level density of states: 3.4 states/eV/cell

Entry 6:
Ca2MgGa3Rh4 after structural relaxation. Source: the Alexandria database, functional PBE.

The structure in POSCAR format:
```
Ca2MgGa3Rh4
1.0
-2.616 -3.293 0.921
-0.855 -0.492 -4.191
7.810 -6.437 -0.838
Ca Mg Ga Rh
2 1 3 4
Direct
0.500 0.000 0.235 Ca
0.000 0.500 0.765 Ca
0.500 0.500 0.500 Mg
0.000 0.000 0.500 Ga
0.500 0.000 0.878 Ga
0.000 0.500 0.122 Ga
0.500 0.500 0.000 Rh
0.000 0.000 0.000 Rh
0.500 0.000 0.635 Rh
0.000 0.500 0.365 Rh
```

* E_form: -0.655 eV per atom
* energy: -50.63 eV per formula unit
* Fermi-level density of states: 3.6 states/eV/cell

Entry 7:
CaMgGa2Ru after structural relaxation. Source: the Alexandria database, functional PBE.

The structure in POSCAR format:
```
CaMgGa2Ru
1.0
-3.177 3.023 1.965
-2.850 -3.709 1.101
2.261 -0.448 4.345
Ru Ca Mg Ga
1 1 1 2
Direct
0.000 0.000 0.000 Ru
0.500 0.500 0.500 Ca
0.000 0.000 0.500 Mg
0.000 0.500 0.000 Ga
0.500 0.000 0.000 Ga
```

* E_form: -0.258 eV per atom
* energy: -20.22 eV per formula unit
* Fermi-level density of states: 2.3 states/eV/cell

Entry 8:
CaMg2GaS after structural relaxation. Source: the Alexandria database, functional PBE.

The structure in POSCAR format:
```
CaMg2GaS
1.0
-3.127 -5.127 -1.189
4.263 -2.670 0.301
-0.936 -0.819 5.995
Mg Ca S Ga
2 1 1 1
Direct
0.000 0.000 0.500 Mg
0.500 0.000 0.000 Mg
0.000 0.000 0.000 Ca
0.000 0.500 0.000 S
0.500 0.500 0.500 Ga
```

* ΔE_f (raw): 0.313 eV/atom
* energy: -10.78 eV per formula unit
* Fermi-level density of states: 3.9 states/eV/cell

Entry 9:
Sr2CaMg12Ga3 after structural relaxation. Source: the Alexandria database, functional PBE.

The structure in POSCAR format:
```
Sr2CaMg12Ga3
1.0
8.970 -0.234 -0.166
4.226 7.915 -0.166
4.226 2.460 7.525
Sr Ca Mg Ga
2 1 12 3
Direct
0.584 0.584 0.584 Sr
0.416 0.416 0.416 Sr
0.000 0.000 0.000 Ca
0.265 0.265 0.872 Mg
0.836 0.836 0.464 Mg
0.464 0.836 0.836 Mg
0.872 0.265 0.265 Mg
0.836 0.464 0.836 Mg
0.265 0.872 0.265 Mg
0.735 0.735 0.128 Mg
0.164 0.164 0.536 Mg
0.536 0.164 0.164 Mg
0.128 0.735 0.735 Mg
0.164 0.536 0.164 Mg
0.735 0.128 0.735 Mg
0.500 0.000 0.000 Ga
0.000 0.500 0.000 Ga
0.000 0.000 0.500 Ga
```

* E_form: 0.176 eV per atom
* energy: -30.41 eV per formula unit
* Fermi-level density of states: 12.6 states/eV/cell

Entry 10:
SrCa2MgGa after structural relaxation. Source: the Alexandria database, functional PBE.

The structure in POSCAR format:
```
SrCa2MgGa
1.0
-4.002 -5.031 1.507
4.709 -3.472 0.915
0.106 1.817 6.347
Sr Ca Mg Ga
1 2 1 1
Direct
0.000 0.000 0.000 Sr
0.000 0.000 0.500 Ca
0.500 0.000 0.000 Ca
0.000 0.500 0.000 Mg
0.500 0.500 0.500 Ga
```

* E_form: 1.009 eV per atom
* energy: -5.26 eV per formula unit
* Fermi-level density of states: 6.3 states/eV/cell
* relative energy among the computed polymorphs: 1.0692 eV per atom

Entry 11:
SrCa2MgGa after structural relaxation. Source: the Alexandria database, functional PBE.

The structure in POSCAR format:
```
SrCa2MgGa
1.0
5.894 0.000 0.000
0.000 5.894 0.000
0.000 0.000 5.304
Sr Ca Mg Ga
1 2 1 1
Direct
0.500 0.500 0.500 Sr
0.000 0.500 0.000 Ca
0.500 0.000 0.000 Ca
0.000 0.000 0.500 Mg
0.000 0.000 0.000 Ga
```

* E_form: -0.061 eV per atom
* energy: -10.61 eV per formula unit
* Fermi-level density of states: 4.4 states/eV/cell
* relative energy among the computed polymorphs: 0.0000 eV per atom

Entry 12:
Sr2CaMgGa after structural relaxation. Source: the Alexandria database, functional PBE.

The structure in POSCAR format:
```
Sr2CaMgGa
1.0
6.235 0.000 0.000
0.000 6.235 0.000
0.000 0.000 5.217
Sr Ca Mg Ga
2 1 1 1
Direct
0.000 0.500 0.000 Sr
0.500 0.000 0.000 Sr
0.500 0.500 0.500 Ca
0.000 0.000 0.500 Mg
0.000 0.000 0.000 Ga
```

* E_form: -0.007 eV per atom
* energy: -10.02 eV per formula unit
* Fermi-level density of states: 4.4 states/eV/cell